(1)
# BaLaPS2 | the Alexandria database | PBE-GGA | optimized geometry
# Formation energy without anion corrections: -1.1 eV/f.u.
# Density of states at the Fermi level: 0.710 states/eV/atom
# V: 162.7 Å³ per cell
# Relative energy among the computed polymorphs: 4.19 eV per formula unit
# Total energy: -21.6 eV for the cell shown
# Size of the total moment: 0.01 μB per formula unit
data_BaLaPS2
_chemical_formula_sum 'Ba1 La1 P1 S2'
_symmetry_space_group_name_H-M 'P 4/m m m'
_symmetry_Int_Tables_number 123
_symmetry_space_group_name_Hall '-P 4 2'
_cell_length_a 5.4908
_cell_length_b 5.4908
_cell_length_c 5.3976
_cell_angle_alpha 90.00
_cell_angle_beta 90.00
_cell_angle_gamma 90.00
loop_
_atom_site_label
_atom_site_type_symbol
_atom_site_fract_x
_atom_site_fract_y
_atom_site_fract_z
Ba1 Ba 0.0000 0.0000 0.0000
La1 La 0.5000 0.5000 0.5000
P1 P 0.0000 0.0000 0.5000
S1 S 0.0000 0.5000 0.0000

(2)
# BeNiH2Pb | the Alexandria database | PBE-GGA | optimized geometry
# Density of states at the Fermi level: 0.290 states/eV/atom
# V: 57.7 Å³ per cell
# Total energy: -17.7 eV for the cell shown
# Size of the total moment: 0.00 μB per formula unit
data_BeNiH2Pb
_chemical_formula_sum 'Be1 Ni1 H2 Pb1'
_symmetry_space_group_name_H-M 'P 4/m m m'
_symmetry_Int_Tables_number 123
_symmetry_space_group_name_Hall '-P 4 2'
_cell_length_a 3.5879
_cell_length_b 3.5879
_cell_length_c 4.4840
_cell_angle_alpha 90.00
_cell_angle_beta 90.00
_cell_angle_gamma 90.00
loop_
_atom_site_label
_atom_site_type_symbol
_atom_site_fract_x
_atom_site_fract_y
_atom_site_fract_z
Be1 Be 0.0000 0.0000 0.0000
Ni1 Ni 0.0000 0.0000 0.5000
H1 H 0.0000 0.5000 0.5000
Pb1 Pb 0.5000 0.5000 0.0000

(3)
# YAsBr2F | the Alexandria database | PBE-GGA | optimized geometry
# Formation energy without anion corrections: -3.4 eV/f.u.
# Density of states at the Fermi level: 0.916 states/eV/atom
# V: 114.4 Å³ per cell
# Relative energy among the computed polymorphs: 0.25 eV per formula unit
# Total energy: -19.7 eV for the cell shown
# Size of the total moment: 0.01 μB per formula unit
data_YAsBr2F
_chemical_formula_sum 'Y1 As1 Br2 F1'
_symmetry_space_group_name_H-M 'P 4/m m m'
_symmetry_Int_Tables_number 123
_symmetry_space_group_name_Hall '-P 4 2'
_cell_length_a 5.3120
_cell_length_b 5.3120
_cell_length_c 4.0527
_cell_angle_alpha 90.00
_cell_angle_beta 90.00
_cell_angle_gamma 90.00
loop_
_atom_site_label
_atom_site_type_symbol
_atom_site_fract_x
_atom_site_fract_y
_atom_site_fract_z
Y1 Y 0.0000 0.0000 0.0000
As1 As 0.5000 0.5000 0.0000
Br1 Br 0.0000 0.5000 0.5000
F1 F 0.5000 0.5000 0.5000

(4)
# BaBe3Sb | the Alexandria database | PBE-GGA | optimized geometry
# Formation energy without anion corrections: 10.2 eV/f.u.
# Density of states at the Fermi level: 1.176 states/eV/atom
# V: 138.3 Å³ per cell
# Relative energy among the computed polymorphs: 6.04 eV per formula unit
# Total energy: -7.0 eV for the cell shown
# Size of the total moment: 0.00 μB per formula unit
data_BaBe3Sb
_chemical_formula_sum 'Ba1 Be3 Sb1'
_symmetry_space_group_name_H-M 'P m -3 m'
_symmetry_Int_Tables_number 221
_symmetry_space_group_name_Hall '-P 4 2 3'
_cell_length_a 5.1716
_cell_length_b 5.1716
_cell_length_c 5.1716
_cell_angle_alpha 90.00
_cell_angle_beta 90.00
_cell_angle_gamma 90.00
loop_
_atom_site_label
_atom_site_type_symbol
_atom_site_fract_x
_atom_site_fract_y
_atom_site_fract_z
Ba1 Ba 0.0000 0.0000 0.0000
Be1 Be 0.0000 0.0000 0.5000
Sb1 Sb 0.5000 0.5000 0.5000

(5)
# Cd4SbMo | the Alexandria database | PBE-GGA | optimized geometry
# Formation energy without anion corrections: 3.2 eV/f.u.
# Density of states at the Fermi level: 0.701 states/eV/atom
# V: 532.5 Å³ per cell
# Total energy: -61.5 eV for the cell shown
# Size of the total moment: 2.82 μB per formula unit
data_Cd4SbMo
_chemical_formula_sum 'Cd16 Sb4 Mo4'
_symmetry_space_group_name_H-M 'F -4 3 m'
_symmetry_Int_Tables_number 216
_symmetry_space_group_name_Hall 'F -4 2 3'
_cell_length_a 8.1054
_cell_length_b 8.1054
_cell_length_c 8.1054
_cell_angle_alpha 90.00
_cell_angle_beta 90.00
_cell_angle_gamma 90.00
loop_
_atom_site_label
_atom_site_type_symbol
_atom_site_fract_x
_atom_site_fract_y
_atom_site_fract_z
Cd1 Cd 0.1243 0.1243 0.1243
Sb1 Sb 0.0000 0.0000 0.5000
Mo1 Mo 0.2500 0.2500 0.7500

(6)
# Ce2NpPt9 | the Alexandria database | PBE-GGA | optimized geometry
# Energy of formation: -0.86 eV/atom
# Density of states at the Fermi level: 1.237 states/eV/atom
# V: 217.0 Å³ per cell
# Relative energy among the computed polymorphs: 0.00 eV per formula unit
# Total energy: -89.5 eV for the cell shown
# Size of the total moment: 2.97 μB per formula unit
data_Ce2NpPt9
_chemical_formula_sum 'Ce2 Np1 Pt9'
_symmetry_space_group_name_H-M 'P 4/m m m'
_symmetry_Int_Tables_number 123
_symmetry_space_group_name_Hall '-P 4 2'
_cell_length_a 4.1641
_cell_length_b 4.1641
_cell_length_c 12.5148
_cell_angle_alpha 90.00
_cell_angle_beta 90.00
_cell_angle_gamma 90.00
loop_
_atom_site_label
_atom_site_type_symbol
_atom_site_fract_x
_atom_site_fract_y
_atom_site_fract_z
Ce1 Ce 0.0000 0.0000 0.1670
Np1 Np 0.0000 0.0000 0.5000
Pt1 Pt 0.0000 0.5000 0.0000
Pt2 Pt 0.0000 0.5000 0.3329
Pt3 Pt 0.5000 0.5000 0.1668
Pt4 Pt 0.5000 0.5000 0.5000

(7)
# CaCuAs3 | the Alexandria database | PBE-GGA | optimized geometry
# Energy of formation: -0.04 eV/atom
# Density of states at the Fermi level: 0.596 states/eV/atom
# V: 111.5 Å³ per cell
# Relative energy among the computed polymorphs: 0.00 eV per formula unit
# Total energy: -20.3 eV for the cell shown
# Size of the total moment: 0.00 μB per formula unit
data_CaCuAs3
_chemical_formula_sum 'Ca1 Cu1 As3'
_symmetry_space_group_name_H-M 'P m -3 m'
_symmetry_Int_Tables_number 221
_symmetry_space_group_name_Hall '-P 4 2 3'
_cell_length_a 4.8131
_cell_length_b 4.8131
_cell_length_c 4.8131
_cell_angle_alpha 90.00
_cell_angle_beta 90.00
_cell_angle_gamma 90.00
loop_
_atom_site_label
_atom_site_type_symbol
_atom_site_fract_x
_atom_site_fract_y
_atom_site_fract_z
Ca1 Ca 0.0000 0.0000 0.0000
Cu1 Cu 0.5000 0.5000 0.5000
As1 As 0.0000 0.5000 0.5000

(8)
# CsLaHRhS | the Alexandria database | PBE-GGA | optimized geometry
# V: 274.2 Å³ per cell
# Relative energy among the computed polymorphs: 1.09 eV per formula unit
# Total energy: -48.5 eV for the cell shown
# Size of the total moment: 0.00 μB per formula unit
data_CsLaHRhS
_chemical_formula_sum 'Cs2 La2 H2 Rh2 S2'
_symmetry_space_group_name_H-M 'C 1 m 1'
_symmetry_Int_Tables_number 8
_cell_length_a 7.5291
_cell_length_b 4.3445
_cell_length_c 8.7434
_cell_angle_alpha 90.00
_cell_angle_beta 106.50
_cell_angle_gamma 90.00
loop_
_symmetry_equiv_pos_as_xyz
'x,y,z'
'x,-y,z'
'x+1/2,y+1/2,z'
'x+1/2,-y+1/2,z'
loop_
_atom_site_label
_atom_site_type_symbol
_atom_site_fract_x
_atom_site_fract_y
_atom_site_fract_z
Cs1 Cs 0.0000 0.0000 0.0000
La1 La 0.3321 0.5000 0.4906
H1 H 0.2351 0.5000 0.2083
Rh1 Rh 0.2166 0.0000 0.6446
S1 S 0.0661 0.5000 0.6941

(9)
# Zr2CrMo2 | the Alexandria database | PBE-GGA | optimized geometry
# Energy of formation: 0.65 eV/atom
# Density of states at the Fermi level: 0.949 states/eV/atom
# V: 200.7 Å³ per cell
# Relative energy among the computed polymorphs: 2.01 eV per formula unit
# Total energy: -90.3 eV for the cell shown
# Size of the total moment: 1.86 μB per formula unit
data_Zr2CrMo2
_chemical_formula_sum 'Zr4 Cr2 Mo4'
_symmetry_space_group_name_H-M 'I 4/m m m'
_symmetry_Int_Tables_number 139
_symmetry_space_group_name_Hall '-I 4 2'
_cell_length_a 3.5060
_cell_length_b 3.5060
_cell_length_c 16.3251
_cell_angle_alpha 90.00
_cell_angle_beta 90.00
_cell_angle_gamma 90.00
loop_
_atom_site_label
_atom_site_type_symbol
_atom_site_fract_x
_atom_site_fract_y
_atom_site_fract_z
Zr1 Zr 0.0000 0.0000 0.0978
Cr1 Cr 0.0000 0.0000 0.5000
Mo1 Mo 0.0000 0.5000 0.2500

(10)
# Ac4AuS7 | the Alexandria database | PBE-GGA | optimized geometry
# Formation energy without anion corrections: -21.7 eV/f.u.
# Density of states at the Fermi level: 0.125 states/eV/atom
# V: 660.4 Å³ per cell
# Total energy: -140.5 eV for the cell shown
# Size of the total moment: 0.00 μB per formula unit
data_Ac4AuS7
_chemical_formula_sum 'Ac8 Au2 S14'
_symmetry_space_group_name_H-M 'C 1 2/m 1'
_symmetry_Int_Tables_number 12
_cell_length_a 15.7908
_cell_length_b 5.0578
_cell_length_c 10.8653
_cell_angle_alpha 90.00
_cell_angle_beta 130.44
_cell_angle_gamma 90.00
loop_
_symmetry_equiv_pos_as_xyz
'x,y,z'
'-x,-y,-z'
'-x,y,-z'
'x,-y,z'
'x+1/2,y+1/2,z'
'-x+1/2,-y+1/2,-z'
'-x+1/2,y+1/2,-z'
'x+1/2,-y+1/2,z'
loop_
_atom_site_label
_atom_site_type_symbol
_atom_site_fract_x
_atom_site_fract_y
_atom_site_fract_z
Ac1 Ac 0.0877 0.0000 0.2843
Ac2 Ac 0.2268 0.0000 0.8322
Au1 Au 0.0000 0.5000 0.5000
S1 S 0.0000 0.0000 0.5000
S2 S 0.0727 0.5000 0.7732
S3 S 0.1402 0.0000 0.0544
S4 S 0.2096 0.5000 0.3592

(11)
# PuAgHg | the Alexandria database | PBE-GGA | optimized geometry
# Energy of formation: -0.02 eV/atom
# Density of states at the Fermi level: 2.393 states/eV/atom
# V: 136.8 Å³ per cell
# Relative energy among the computed polymorphs: 0.31 eV per formula unit
# Total energy: -35.1 eV for the cell shown
# Size of the total moment: 6.10 μB per formula unit
data_PuAgHg
_chemical_formula_sum 'Pu2 Ag2 Hg2'
_symmetry_space_group_name_H-M 'I 4 m m'
_symmetry_Int_Tables_number 107
_symmetry_space_group_name_Hall 'I 4 -2'
_cell_length_a 3.1963
_cell_length_b 3.1963
_cell_length_c 13.3920
_cell_angle_alpha 90.00
_cell_angle_beta 90.00
_cell_angle_gamma 90.00
loop_
_atom_site_label
_atom_site_type_symbol
_atom_site_fract_x
_atom_site_fract_y
_atom_site_fract_z
Pu1 Pu 0.0000 0.0000 0.0000
Ag1 Ag 0.0000 0.0000 0.3283
Hg1 Hg 0.0000 0.0000 0.6797

(12)
# Ti2HgPdPt | the Alexandria database | PBE-GGA | optimized geometry
# Energy of formation: 0.61 eV/atom
# Density of states at the Fermi level: 1.247 states/eV/atom
# V: 108.9 Å³ per cell
# Total energy: -24.3 eV for the cell shown
# Size of the total moment: 0.00 μB per formula unit
data_Ti2HgPdPt
_chemical_formula_sum 'Ti2 Hg1 Pd1 Pt1'
_symmetry_space_group_name_H-M 'P 4/m m m'
_symmetry_Int_Tables_number 123
_symmetry_space_group_name_Hall '-P 4 2'
_cell_length_a 4.6808
_cell_length_b 4.6808
_cell_length_c 4.9705
_cell_angle_alpha 90.00
_cell_angle_beta 90.00
_cell_angle_gamma 90.00
loop_
_atom_site_label
_atom_site_type_symbol
_atom_site_fract_x
_atom_site_fract_y
_atom_site_fract_z
Ti1 Ti 0.0000 0.5000 0.0000
Hg1 Hg 0.0000 0.0000 0.5000
Pd1 Pd 0.0000 0.0000 0.0000
Pt1 Pt 0.5000 0.5000 0.5000